# NbHgMoO6, relaxed, DFT GGA+U
# ρ: 5.5 g/cm3
# DOS at the Fermi energy: 5.16 states/eV per cell
# Magnetic moment: 0.00 μB per formula unit
# SG: Imma (74)
# E_tot: -6.8314 eV per atom
data_NbHgMoO6
_chemical_formula_sum 'Nb2 Hg2 Mo2 O12'
_space_group_name_H-M_alt 'P 1'
_space_group_IT_number 1
_space_group_name_Hall 'P 1'
_cell_length_a 7.606
_cell_length_b 7.332
_cell_length_c 7.465
_cell_angle_alpha 119.41
_cell_angle_beta 120.63
_cell_angle_gamma 90.00
loop_
_atom_site_label
_atom_site_type_symbol
_atom_site_fract_x
_atom_site_fract_y
_atom_site_fract_z
O1 O 0.181 0.931 0.363
O2 O 0.199 0.314 0.755
O3 O 0.199 0.941 0.755
O4 O 0.444 0.059 0.245
O5 O 0.819 0.069 0.637
O6 O 0.557 0.307 0.114
O7 O 0.444 0.686 0.245
O8 O 0.801 0.059 0.245
O9 O 0.556 0.941 0.755
O10 O 0.443 0.693 0.886
O11 O 0.556 0.314 0.755
O12 O 0.801 0.686 0.245
Hg1 Hg 0.042 0.292 0.084
Hg2 Hg 0.958 0.708 0.916
Nb1 Nb 0.000 0.000 0.500
Nb2 Nb 0.500 0.000 0.500
Mo1 Mo 0.500 0.500 0.000
Mo2 Mo 0.500 0.000 0.000


# Nb2HgMoO, relaxed, DFT GGA+U
# ρ: 9.3 g/cm3
# DOS at the Fermi energy: 3.22 states/eV per cell
# Magnetic moment: 2.48 μB per formula unit
# SG: P4/mmm (123)
# E_tot: -6.5280 eV per atom
data_Nb2HgMoO
_chemical_formula_sum 'Nb2 Hg1 Mo1 O1'
_space_group_name_H-M_alt 'P 1'
_space_group_IT_number 1
_space_group_name_Hall 'P 1'
_cell_length_a 4.167
_cell_length_b 5.118
_cell_length_c 4.167
_cell_angle_alpha 90.00
_cell_angle_beta 90.00
_cell_angle_gamma 90.00
loop_
_atom_site_label
_atom_site_type_symbol
_atom_site_fract_x
_atom_site_fract_y
_atom_site_fract_z
Nb1 Nb 0.000 0.000 0.500
Nb2 Nb 0.500 0.000 0.000
Hg1 Hg 0.000 0.500 0.000
O1 O 0.000 0.000 0.000
Mo1 Mo 0.500 0.500 0.500


# Nb2HgMoO, relaxed, DFT GGA+U
# ρ: 6.8 g/cm3
# DOS at the Fermi energy: 4.18 states/eV per cell
# Magnetic moment: 0.88 μB per formula unit
# SG: P4/mmm (123)
# E_tot: -4.6369 eV per atom
data_Nb2HgMoO
_chemical_formula_sum 'Nb2 Hg1 Mo1 O1'
_space_group_name_H-M_alt 'P 1'
_space_group_IT_number 1
_space_group_name_Hall 'P 1'
_cell_length_a 4.799
_cell_length_b 5.261
_cell_length_c 4.799
_cell_angle_alpha 90.00
_cell_angle_beta 90.00
_cell_angle_gamma 90.00
loop_
_atom_site_label
_atom_site_type_symbol
_atom_site_fract_x
_atom_site_fract_y
_atom_site_fract_z
Nb1 Nb 0.000 0.000 0.500
Nb2 Nb 0.500 0.000 0.000
Hg1 Hg 0.000 0.500 0.000
O1 O 0.500 0.500 0.500
Mo1 Mo 0.000 0.000 0.000